(1)
Below is a relaxed LaPaCuO6 crystal, with properties calculated at the PBE level.

Values from the calculation:
Formation energy without anion corrections in eV/atom: -2.236
Crystal system: trigonal
Symmetry: No. 149

a = 5.4421 Å, b = 5.4421 Å, c = 4.9317 Å
α = 90.00°, β = 90.00°, γ = 120.00°
Fractional coordinates of all 9 atoms:
La 0.0000 0.0000 0.0000
Pa 0.6667 0.3333 0.5000
Cu 0.3333 0.6667 0.0000
O 0.0109 0.3855 0.2419
O 0.0109 0.6255 0.7581
O 0.3745 0.3855 0.7581
O 0.3745 0.9891 0.2419
O 0.6145 0.6255 0.2419
O 0.6145 0.9891 0.7581



(2)
Below is a relaxed LaPa2CuO8 crystal, with properties calculated at the PBE level.

Values from the calculation:
Formation energy without anion corrections in eV/atom: -2.527
Crystal system: trigonal
Symmetry: No. 164

a = 5.2168 Å, b = 5.2168 Å, c = 6.4947 Å
α = 90.00°, β = 90.00°, γ = 120.00°
Fractional coordinates of all 12 atoms:
La 0.0000 0.0000 0.0000
Pa 0.3333 0.6667 0.3716
Pa 0.6667 0.3333 0.6284
Cu 0.0000 0.0000 0.5000
O 0.1726 0.3451 0.6722
O 0.1726 0.8274 0.6722
O 0.3333 0.6667 0.0763
O 0.3451 0.1726 0.3278
O 0.6549 0.8274 0.6722
O 0.6667 0.3333 0.9237
O 0.8274 0.1726 0.3278
O 0.8274 0.6549 0.3278



(3)
Below is a relaxed La2CuPbO5 crystal, with properties calculated at the PBE level.

Values from the calculation:
Formation energy without anion corrections in eV/atom: -2.172
Crystal system: tetragonal
Symmetry: No. 127

a = 6.8517 Å, b = 6.8517 Å, c = 5.8208 Å
α = 90.00°, β = 90.00°, γ = 90.00°
Fractional coordinates of all 18 atoms:
La 0.1747 0.3253 0.0000
La 0.3253 0.8253 0.0000
La 0.6747 0.1747 0.0000
La 0.8253 0.6747 0.0000
Cu 0.0000 0.5000 0.5000
Cu 0.5000 0.0000 0.5000
Pb 0.0000 0.0000 0.5000
Pb 0.5000 0.5000 0.5000
O 0.0000 0.0000 0.0000
O 0.1404 0.6404 0.2613
O 0.1404 0.6404 0.7387
O 0.3596 0.1404 0.2613
O 0.3596 0.1404 0.7387
O 0.5000 0.5000 0.0000
O 0.6404 0.8596 0.2613
O 0.6404 0.8596 0.7387
O 0.8596 0.3596 0.2613
O 0.8596 0.3596 0.7387



> Which of these has the highest formation energy without anion corrections?

La2CuPbO5



> What is the formula in the first record?

LaPaCuO6



> Look up the formation energy without anion corrections of the second one.

-2.527 eV/atom



Please write out number 2 again, unchanged.
Below is a relaxed LaPa2CuO8 crystal, with properties calculated at the PBE level.

Values from the calculation:
Formation energy without anion corrections in eV/atom: -2.527
Crystal system: trigonal
Symmetry: No. 164

a = 5.2168 Å, b = 5.2168 Å, c = 6.4947 Å
α = 90.00°, β = 90.00°, γ = 120.00°
Fractional coordinates of all 12 atoms:
La 0.0000 0.0000 0.0000
Pa 0.3333 0.6667 0.3716
Pa 0.6667 0.3333 0.6284
Cu 0.0000 0.0000 0.5000
O 0.1726 0.3451 0.6722
O 0.1726 0.8274 0.6722
O 0.3333 0.6667 0.0763
O 0.3451 0.1726 0.3278
O 0.6549 0.8274 0.6722
O 0.6667 0.3333 0.9237
O 0.8274 0.1726 0.3278
O 0.8274 0.6549 0.3278